This record from the Alexandria database describes a relaxed structure of Hf7InTe2. The functional is GGA-PBE.

abc: 4.8751 8.1481 8.1482
angles: 120.75 90.00 90.00
With the nearest neighbours (Å) after each atom.
Fractional coordinates of all 10 atoms:
Hf 0.5000 0.5000 0.5000  2 Te 2.80, 4 Hf 3.04
Hf 0.5000 0.2899 0.0658  2 Te 2.86-3.06, 5 Hf 2.87-3.18
Hf 0.0000 0.2103 0.7897  2 Te 2.77, 1 In 2.98
Hf 0.0000 0.7897 0.2103  2 Te 2.77, 1 In 2.98
Hf 0.5000 0.9342 0.7101  2 Te 2.86-3.06, 5 Hf 2.87-3.18
Hf 0.5000 0.7101 0.9342  2 Te 2.86-3.06, 5 Hf 2.87-3.18
Hf 0.5000 0.0658 0.2899  2 Te 2.86-3.06, 5 Hf 2.87-3.18
In 0.0000 0.0000 0.0000  10 Hf 2.98-3.24
Te 0.5000 0.3026 0.6974  7 Hf 2.77-3.06
Te 0.5000 0.6974 0.3026  7 Hf 2.77-3.06

Crystal system = orthorhombic
Uncorrected energy = -0.2737 Ha/atom

***

This record from the Alexandria database describes a relaxed structure of La3HgN. The functional is GGA-PBE.

abc: 4.7757 4.7757 8.5204
angles: 90.00 90.00 90.00
With the nearest neighbours (Å) after each atom.
Fractional coordinates of all 5 atoms:
N 0.5000 0.5000 0.6831  4 La 2.44
La 0.0000 0.0000 0.9849  1 Hg 3.09
La 0.0000 0.5000 0.6240  2 N 2.44
La 0.5000 0.0000 0.6240  2 N 2.44
Hg 0.0000 0.0000 0.3478  5 La 3.09-3.35

Crystal system = tetragonal
Uncorrected energy = -0.1724 Ha/atom

***

What did the first record say?
This record from the Alexandria database describes a relaxed structure of Hf7InTe2. The functional is GGA-PBE.

abc: 4.8751 8.1481 8.1482
angles: 120.75 90.00 90.00
With the nearest neighbours (Å) after each atom.
Fractional coordinates of all 10 atoms:
Hf 0.5000 0.5000 0.5000  2 Te 2.80, 4 Hf 3.04
Hf 0.5000 0.2899 0.0658  2 Te 2.86-3.06, 5 Hf 2.87-3.18
Hf 0.0000 0.2103 0.7897  2 Te 2.77, 1 In 2.98
Hf 0.0000 0.7897 0.2103  2 Te 2.77, 1 In 2.98
Hf 0.5000 0.9342 0.7101  2 Te 2.86-3.06, 5 Hf 2.87-3.18
Hf 0.5000 0.7101 0.9342  2 Te 2.86-3.06, 5 Hf 2.87-3.18
Hf 0.5000 0.0658 0.2899  2 Te 2.86-3.06, 5 Hf 2.87-3.18
In 0.0000 0.0000 0.0000  10 Hf 2.98-3.24
Te 0.5000 0.3026 0.6974  7 Hf 2.77-3.06
Te 0.5000 0.6974 0.3026  7 Hf 2.77-3.06

Crystal system = orthorhombic
Uncorrected energy = -0.2737 Ha/atom

***

- What is the uncorrected energy in the second record?
  -0.1724 Ha/atom

***

- Which value of uncorrected energy does entry 1 give?
  -0.2737 Ha/atom

***

- Which formula does entry 2 have?
  La3HgN